Here is a relaxed structure of Na2YNi3F12 from Alexandria. Energies are from PBE with a Hubbard U.

Unit cell a=6.777 b=6.777 c=6.777 alpha=65.34 beta=65.34 gamma=65.34
Fractional positions:
Ni 0.000 0.000 0.500
Na 0.638 0.638 0.638
Y 0.000 0.000 0.000
F 0.735 0.109 0.735
F 0.265 0.265 0.891
Ni 0.500 0.000 0.000
F 0.598 0.137 0.137
F 0.735 0.735 0.109
F 0.863 0.863 0.402
Na 0.362 0.362 0.362
F 0.265 0.891 0.265
F 0.137 0.137 0.598
F 0.863 0.402 0.863
F 0.137 0.598 0.137
F 0.891 0.265 0.265
F 0.402 0.863 0.863
Ni 0.000 0.500 0.000
F 0.109 0.735 0.735

DOS at the Fermi energy in states/eV/f.u.: 6.21
E_tot in eV for the cell shown: -85.2
Spin magnetization in μB/cell: 4.99
SG: R-3m (166)
Mass density in g/cm3: 3.64